1.
SiH2Pb2, optimized geometry, DFT PBE-GGA; DOS at the Fermi energy = 3.58 states/eV per cell; relative energy among the computed polymorphs = 5.2 kJ per mole of atoms; raw total energy = -0.12202 Ha/atom; space group = P4/mbm
1.0
8.076 0.000 0.000
0.000 8.076 0.000
0.000 0.000 3.223
H Pb Si
4 4 2
Direct
0.892 0.392 0.500 H
0.108 0.608 0.500 H
0.608 0.892 0.500 H
0.392 0.108 0.500 H
0.775 0.275 0.000 Pb
0.725 0.775 0.000 Pb
0.225 0.725 0.000 Pb
0.275 0.225 0.000 Pb
0.000 0.000 0.000 Si
0.500 0.500 0.000 Si

---

2.
SbSeO6, optimized geometry, DFT PBE-GGA; DOS at the Fermi energy = 6.02 states/eV per cell; raw total energy = -0.18904 Ha/atom; formation energy without anion corrections = -46 kJ per mole of atoms; space group = C2/m
1.0
5.005 1.035 0.219
1.409 4.913 0.219
1.987 1.843 4.276
O Se Sb
6 1 1
Direct
0.165 0.688 0.306 O
0.688 0.165 0.306 O
0.765 0.765 0.096 O
0.835 0.312 0.694 O
0.235 0.235 0.904 O
0.312 0.835 0.694 O
0.000 0.000 0.000 Se
0.500 0.500 0.500 Sb

---

3.
GaTeIr, optimized geometry, DFT PBE-GGA; DOS at the Fermi energy = 1.24 states/eV per cell; relative energy among the computed polymorphs = 5.5 kJ per mole of atoms; raw total energy = -0.18888 Ha/atom; formation energy without anion corrections = -13 kJ per mole of atoms; space group = Pmmm
1.0
2.987 0.000 0.000
0.000 4.058 0.000
0.000 0.000 5.449
Ir Te Ga
1 1 1
Direct
0.500 0.000 0.500 Ir
0.500 0.000 0.000 Te
0.000 0.500 0.500 Ga